1.
Er4IrAu3 after structural relaxation. Source: Alexandria, functional PBE.

Summary:
calculated total energy	-44.0	eV/cell
formation enthalpy at 0 K	-85.2	kJ per mole of atoms
M_tot	0.000	μB per atom
SG	No. 123
N(E_F)	5.8	states/eV per cell

Unit cell a=3.519 b=3.519 c=14.187 alpha=90.00 beta=90.00 gamma=90.00
Fractional coordinates of all 8 atoms:
Ir  0.500  0.500  0.000
Au  0.500  0.500  0.247
Au  0.500  0.500  0.500
Au  0.500  0.500  0.753
Er  0.000  0.000  0.886
Er  0.000  0.000  0.114
Er  0.000  0.000  0.371
Er  0.000  0.000  0.629

2.
Ag6HgP20I2 after structural relaxation. Source: Alexandria, functional PBE.

Summary:
calculated total energy	-260.4	eV/cell
M_tot	0.000	μB per atom
SG	No. 4
formation energy from raw total energies	-5	kJ/mol of atoms

Unit cell a=28.095 b=6.789 c=7.463 alpha=65.92 beta=90.00 gamma=90.00
Fractional coordinates of all 58 atoms:
Ag  0.154  0.093  0.979
Ag  0.654  0.907  0.021
Ag  0.848  0.906  0.018
Ag  0.348  0.094  0.982
Ag  0.071  0.162  0.433
Ag  0.571  0.838  0.567
Ag  0.931  0.841  0.574
Ag  0.431  0.159  0.426
Ag  0.249  0.841  0.578
Ag  0.749  0.159  0.422
Ag  0.009  0.148  0.977
Ag  0.509  0.852  0.023
Hg  0.250  0.474  0.160
Hg  0.750  0.526  0.840
P  0.168  0.717  0.717
P  0.668  0.283  0.283
P  0.832  0.278  0.284
P  0.332  0.722  0.716
P  0.936  0.291  0.096
P  0.436  0.709  0.904
P  0.062  0.713  0.910
P  0.562  0.287  0.090
P  0.169  0.444  0.016
P  0.669  0.556  0.984
P  0.831  0.554  0.984
P  0.331  0.446  0.016
P  0.993  0.357  0.462
P  0.493  0.643  0.538
P  0.006  0.655  0.522
P  0.506  0.345  0.478
P  0.117  0.950  0.746
P  0.617  0.050  0.254
P  0.883  0.044  0.259
P  0.383  0.956  0.741
P  0.105  0.499  0.164
P  0.605  0.501  0.836
P  0.895  0.500  0.833
P  0.395  0.500  0.167
P  0.128  0.517  0.595
P  0.628  0.483  0.405
P  0.871  0.476  0.408
P  0.371  0.524  0.592
P  0.047  0.896  0.288
P  0.547  0.104  0.712
P  0.957  0.113  0.712
P  0.457  0.887  0.288
P  0.058  0.490  0.759
P  0.558  0.510  0.241
P  0.940  0.525  0.234
P  0.440  0.475  0.766
P  0.117  0.757  0.283
P  0.617  0.243  0.717
P  0.885  0.238  0.718
P  0.385  0.762  0.282
I  0.249  0.269  0.583
I  0.749  0.731  0.417
I  0.251  0.924  0.162
I  0.751  0.076  0.838

3.
SrTb2HoS4 after structural relaxation. Source: Alexandria, functional PBE.

Summary:
calculated total energy	-48.0	eV/cell
M_tot	0.000	μB per atom
SG	No. 10
N(E_F)	2.6	states/eV per cell
formation energy from raw total energies	-192	kJ/mol of atoms

Unit cell a=3.967 b=6.920 c=6.919 alpha=70.92 beta=90.00 gamma=90.00
Fractional coordinates of all 8 atoms:
Sr  0.500  0.500  0.000
Tb  0.000  0.000  0.000
Tb  0.500  0.000  0.500
Ho  0.000  0.500  0.500
S  0.000  0.760  0.737
S  0.000  0.240  0.263
S  0.500  0.752  0.258
S  0.500  0.248  0.742

4.
K2TmI4 after structural relaxation. Source: Alexandria, functional PBE.

Summary:
calculated total energy	-21.2	eV/cell
M_tot	0.074	μB per atom
SG	No. 139
N(E_F)	3.0	states/eV per cell
formation energy from raw total energies	-116	kJ/mol of atoms

Unit cell a=5.948 b=5.948 c=9.921 alpha=72.56 beta=72.56 gamma=90.00
Last column: magnetic moment on the atom in μB.
Fractional coordinates of all 7 atoms:
I  0.830  0.830  0.340  0.01
I  0.170  0.170  0.660  0.01
I  0.000  0.500  0.000  0.00
I  0.500  0.000  0.000  0.00
K  0.636  0.636  0.728  0.00
K  0.364  0.364  0.272  0.00
Tm  0.000  0.000  0.000  0.30

5.
Sc2Ga9Ni3 after structural relaxation. Source: Alexandria, functional PBE.

Summary:
calculated total energy	-127.4	eV/cell
formation enthalpy at 0 K	-44.3	kJ per mole of atoms
M_tot	0.000	μB per atom
SG	No. 15
N(E_F)	13.0	states/eV per cell

Unit cell a=7.337 b=7.337 c=10.177 alpha=90.05 beta=111.06 gamma=120.03
Fractional coordinates of all 28 atoms:
Sc  0.333  0.249  0.748
Sc  0.667  0.751  0.252
Sc  0.001  0.584  0.752
Sc  0.999  0.416  0.248
Ga  0.448  0.917  0.749
Ga  0.552  0.083  0.251
Ga  0.667  0.698  0.751
Ga  0.333  0.302  0.249
Ga  0.446  0.637  0.928
Ga  0.554  0.363  0.072
Ga  0.209  0.519  0.572
Ga  0.791  0.481  0.428
Ga  0.885  0.135  0.750
Ga  0.115  0.865  0.250
Ga  0.128  0.978  0.933
Ga  0.872  0.022  0.067
Ga  0.545  0.195  0.567
Ga  0.455  0.805  0.433
Ga  0.888  0.858  0.574
Ga  0.112  0.142  0.426
Ga  0.783  0.314  0.926
Ga  0.217  0.686  0.074
Ni  0.500  0.000  0.000
Ni  0.500  0.500  0.500
Ni  0.837  0.168  0.500
Ni  0.163  0.832  0.500
Ni  0.168  0.337  0.000
Ni  0.832  0.663  0.000

6.
IrAuIN2 after structural relaxation. Source: Alexandria, functional PBE.

Summary:
calculated total energy	-19.8	eV/cell
M_tot	0.717	μB per atom
SG	No. 123
N(E_F)	5.0	states/eV per cell
formation energy from raw total energies	203	kJ/mol of atoms

Unit cell a=3.896 b=3.896 c=8.545 alpha=90.00 beta=90.00 gamma=90.00
Last column: magnetic moment on the atom in μB.
Fractional coordinates of all 5 atoms:
I  0.000  0.000  0.500  0.03
Ir  0.500  0.500  0.500  0.31
Au  0.000  0.000  0.000  0.32
N  0.000  0.500  0.000  1.01
N  0.500  0.000  0.000  1.01

7.
SrCo2Cu after structural relaxation. Source: Alexandria, functional PBE.

Summary:
calculated total energy	-17.1	eV/cell
formation enthalpy at 0 K	69.6	kJ per mole of atoms
M_tot	0.762	μB per atom
SG	No. 139
N(E_F)	4.8	states/eV per cell

Unit cell a=5.221 b=5.221 c=5.221 alpha=135.71 beta=135.71 gamma=64.43
Last column: magnetic moment on the atom in μB.
Fractional coordinates of all 4 atoms:
Co  0.000  0.000  0.000  1.62
Co  0.500  0.500  0.000  1.62
Cu  0.250  0.750  0.500  0.00
Sr  0.750  0.250  0.500  -0.05

8.
SrMnCr2 after structural relaxation. Source: Alexandria, functional PBE.

Summary:
calculated total energy	-27.2	eV/cell
formation enthalpy at 0 K	70.2	kJ per mole of atoms
M_tot	0.000	μB per atom
SG	No. 10
N(E_F)	4.5	states/eV per cell

Unit cell a=3.511 b=2.951 c=7.257 alpha=73.02 beta=90.00 gamma=90.00
Fractional coordinates of all 4 atoms:
Cr  0.000  0.954  0.110
Cr  0.000  0.546  0.390
Mn  0.500  0.250  0.250
Sr  0.500  0.750  0.750

9.
Zr2ScAgN after structural relaxation. Source: Alexandria, functional PBE.

Summary:
calculated total energy	-38.6	eV/cell
M_tot	0.000	μB per atom
SG	No. 123
N(E_F)	2.6	states/eV per cell
formation energy from raw total energies	-77	kJ/mol of atoms

Unit cell a=4.493 b=4.493 c=4.424 alpha=90.00 beta=90.00 gamma=90.00
Fractional coordinates of all 5 atoms:
Sc  0.000  0.000  0.500
Zr  0.000  0.500  0.000
Zr  0.500  0.000  0.000
Ag  0.500  0.500  0.500
N  0.000  0.000  0.000

10.
K2GePbBr after structural relaxation. Source: Alexandria, functional PBE.

Summary:
calculated total energy	-10.8	eV/cell
M_tot	0.260	μB per atom
SG	No. 123
N(E_F)	1.9	states/eV per cell
formation energy from raw total energies	28	kJ/mol of atoms

Unit cell a=6.598 b=6.598 c=5.628 alpha=90.00 beta=90.00 gamma=90.00
Last column: magnetic moment on the atom in μB.
Fractional coordinates of all 5 atoms:
Pb  0.000  0.000  0.000  -0.42
Ge  0.500  0.500  0.500  0.83
K  0.000  0.500  0.000  -0.02
K  0.500  0.000  0.000  -0.02
Br  0.000  0.000  0.500  -0.02

11.
RbBa2Si after structural relaxation. Source: Alexandria, functional PBE.

Summary:
calculated total energy	-10.4	eV/cell
M_tot	0.047	μB per atom
SG	No. 166
N(E_F)	7.2	states/eV per cell
formation energy from raw total energies	-5	kJ/mol of atoms

Unit cell a=4.978 b=4.978 c=13.127 alpha=79.07 beta=79.07 gamma=60.00
Fractional coordinates of all 4 atoms:
Si  0.500  0.500  0.500
Ba  0.125  0.125  0.625
Ba  0.875  0.875  0.375
Rb  0.000  0.000  0.000

12.
Tl3GaSn3Hg2 after structural relaxation. Source: Alexandria, functional PBE.

Summary:
calculated total energy	-22.6	eV/cell
formation enthalpy at 0 K	1.9	kJ per mole of atoms
M_tot	0.000	μB per atom
SG	No. 189
N(E_F)	3.4	states/eV per cell

Unit cell a=4.437 b=8.136 c=8.136 alpha=120.00 beta=90.00 gamma=90.00
Fractional coordinates of all 9 atoms:
Tl  0.000  0.000  0.405
Tl  0.000  0.595  0.595
Tl  0.000  0.405  0.000
Ga  0.000  0.000  0.000
Sn  0.500  0.759  0.000
Sn  0.500  0.241  0.241
Sn  0.500  0.000  0.759
Hg  0.500  0.333  0.667
Hg  0.500  0.667  0.333

- What is the calculated total energy in the fifth record?
  -127.4 eV/cell